Dy6Er3Sc: optimized geometry, PBE.

Summary:
- Energy of formation from the pure elements: 0.143 eV/atom
- Symmetry: Cmc2_1

```
Dy6Er3Sc
1.0
-3.035 -4.529 2.745
9.363 -4.042 3.682
-5.473 7.253 5.916
Dy Er Sc
12 6 2
direct
0.429 0.952 0.048 Dy
0.540 0.289 0.381 Dy
0.647 0.277 0.723 Dy
0.354 0.529 0.951 Dy
0.540 0.619 0.711 Dy
0.040 0.711 0.619 Dy
0.929 0.048 0.952 Dy
0.040 0.381 0.289 Dy
0.354 0.049 0.471 Dy
0.854 0.471 0.049 Dy
0.147 0.723 0.277 Dy
0.854 0.951 0.529 Dy
0.570 0.611 0.389 Er
0.459 0.275 0.054 Er
0.070 0.389 0.611 Er
0.459 0.946 0.725 Er
0.959 0.054 0.275 Er
0.959 0.725 0.946 Er
0.633 0.795 0.205 Sc
0.133 0.205 0.795 Sc
```